Record 1
VASP calculation (PBE) on a geometry-optimized BaHf3N structure.

a = 4.6815 Å, b = 4.6815 Å, c = 4.6815 Å
α = 90.00°, β = 90.00°, γ = 90.00°
Positions (direct):
Ba (0.0000, 0.0000, 0.0000)
Hf (0.0000, 0.5000, 0.5000)
Hf (0.5000, 0.0000, 0.5000)
Hf (0.5000, 0.5000, 0.0000)
N (0.5000, 0.5000, 0.5000)

Output
* crystal system: cubic
* DOS at the Fermi energy: 1.017 states/eV per atom
* E_tot: -7.990 eV per atom
* M_tot: 0.00 μB per formula unit
* uncorrected formation energy: 32 meV/atom

---

Record 2
VASP calculation (PBE) on a geometry-optimized CsTi2GaCl8 structure.

a = 6.9223 Å, b = 6.9223 Å, c = 10.2879 Å
α = 90.00°, β = 90.00°, γ = 120.00°
Positions (direct):
Cs (0.0000, 0.0000, 0.0000)
Ti (0.3333, 0.6667, 0.7589)
Ti (0.6667, 0.3333, 0.2411)
Ga (0.0000, 0.0000, 0.5000)
Cl (0.0289, 0.3414, 0.6935)
Cl (0.3125, 0.9711, 0.6935)
Cl (0.3333, 0.6667, 0.9799)
Cl (0.3414, 0.3125, 0.3065)
Cl (0.6586, 0.6875, 0.6935)
Cl (0.6667, 0.3333, 0.0201)
Cl (0.6875, 0.0289, 0.3065)
Cl (0.9711, 0.6586, 0.3065)

Output
* crystal system: trigonal
* DOS at the Fermi energy: 1.079 states/eV per atom
* E_tot: -4.332 eV per atom
* M_tot: 2.00 μB per formula unit
* uncorrected formation energy: -1461 meV/atom

---

Record 3
VASP calculation (PBE) on a geometry-optimized Dy9Y4Tl11 structure.

a = 14.0667 Å, b = 14.0667 Å, c = 3.5769 Å
α = 90.00°, β = 90.00°, γ = 109.73°
Positions (direct):
Dy (0.0000, 0.0000, 0.0000)
Dy (0.1144, 0.6582, 0.0000)
Dy (0.2967, 0.4837, 0.0000)
Dy (0.3418, 0.8856, 0.0000)
Dy (0.4837, 0.2967, 0.0000)
Dy (0.5163, 0.7033, 0.0000)
Dy (0.6582, 0.1144, 0.0000)
Dy (0.7033, 0.5163, 0.0000)
Dy (0.8856, 0.3418, 0.0000)
Y (0.0852, 0.2484, 0.0000)
Y (0.2484, 0.0852, 0.0000)
Y (0.7516, 0.9148, 0.0000)
Y (0.9148, 0.7516, 0.0000)
Tl (0.0897, 0.4494, 0.5000)
Tl (0.1233, 0.8767, 0.5000)
Tl (0.2873, 0.2873, 0.5000)
Tl (0.3139, 0.6861, 0.5000)
Tl (0.4494, 0.0897, 0.5000)
Tl (0.5000, 0.5000, 0.5000)
Tl (0.5506, 0.9103, 0.5000)
Tl (0.6861, 0.3139, 0.5000)
Tl (0.7127, 0.7127, 0.5000)
Tl (0.8767, 0.1233, 0.5000)
Tl (0.9103, 0.5506, 0.5000)

Output
* crystal system: orthorhombic
* DOS at the Fermi energy: 0.908 states/eV per atom
* E_tot: -4.162 eV per atom
* M_tot: 0.00 μB per formula unit

---

Record 4
VASP calculation (PBE) on a geometry-optimized AcPr2Tl3Te6 structure.

a = 8.0941 Å, b = 8.0941 Å, c = 8.6017 Å
α = 99.03°, β = 99.03°, γ = 119.97°
Positions (direct):
Ac (0.0000, 0.0000, 0.0000)
Pr (0.3331, 0.6669, 0.0000)
Pr (0.6669, 0.3331, 0.0000)
Tl (0.1649, 0.8351, 0.5000)
Tl (0.5000, 0.5000, 0.5000)
Tl (0.8351, 0.1649, 0.5000)
Te (0.0751, 0.4178, 0.2247)
Te (0.2687, 0.2687, 0.7774)
Te (0.4178, 0.0751, 0.2247)
Te (0.5822, 0.9249, 0.7753)
Te (0.7313, 0.7313, 0.2226)
Te (0.9249, 0.5822, 0.7753)

Output
* crystal system: monoclinic
* E_tot: -4.400 eV per atom
* M_tot: 0.00 μB per formula unit
* uncorrected formation energy: -1099 meV/atom

---

Record 5
VASP calculation (PBE) on a geometry-optimized Rb2MnAg2I6 structure.

a = 8.7430 Å, b = 8.7430 Å, c = 8.7430 Å
α = 59.72°, β = 59.72°, γ = 59.72°
Positions (direct):
Rb (0.2299, 0.2299, 0.2299)
Rb (0.7701, 0.7701, 0.7701)
Mn (0.0000, 0.0000, 0.0000)
Ag (0.4200, 0.4200, 0.4200)
Ag (0.5800, 0.5800, 0.5800)
I (0.2168, 0.7649, 0.7649)
I (0.2351, 0.2351, 0.7832)
I (0.2351, 0.7832, 0.2351)
I (0.7649, 0.2168, 0.7649)
I (0.7649, 0.7649, 0.2168)
I (0.7832, 0.2351, 0.2351)

Output
* crystal system: trigonal
* E_tot: -3.057 eV per atom
* M_tot: 5.00 μB per formula unit
* uncorrected formation energy: -684 meV/atom

---

Record 6
VASP calculation (PBE) on a geometry-optimized Be2BiPt2 structure.

a = 7.2439 Å, b = 7.2439 Å, c = 2.9138 Å
α = 90.00°, β = 90.00°, γ = 90.00°
Positions (direct):
Be (0.1165, 0.3835, 0.0000)
Be (0.3835, 0.8835, 0.0000)
Be (0.6165, 0.1165, 0.0000)
Be (0.8835, 0.6165, 0.0000)
Bi (0.0000, 0.0000, 0.0000)
Bi (0.5000, 0.5000, 0.0000)
Pt (0.1516, 0.6516, 0.5000)
Pt (0.3484, 0.1516, 0.5000)
Pt (0.6516, 0.8484, 0.5000)
Pt (0.8484, 0.3484, 0.5000)

Output
* crystal system: tetragonal
* DOS at the Fermi energy: 0.352 states/eV per atom
* E_tot: -4.933 eV per atom
* M_tot: 0.00 μB per formula unit

---

Record 7
VASP calculation (PBE) on a geometry-optimized LaPtRh3 structure.

a = 4.8386 Å, b = 4.8386 Å, c = 4.8386 Å
α = 90.00°, β = 90.00°, γ = 90.00°
Positions (direct):
La (0.0000, 0.0000, 0.0000)
Pt (0.5000, 0.5000, 0.5000)
Rh (0.0000, 0.5000, 0.5000)
Rh (0.5000, 0.0000, 0.5000)
Rh (0.5000, 0.5000, 0.0000)

Output
* crystal system: cubic
* DOS at the Fermi energy: 1.410 states/eV per atom
* E_tot: -6.191 eV per atom
* M_tot: 1.80 μB per formula unit

---

Record 8
VASP calculation (PBE) on a geometry-optimized ErBe2Pt6 structure.

a = 7.6443 Å, b = 7.6443 Å, c = 7.6443 Å
α = 60.00°, β = 60.00°, γ = 60.00°
Positions (direct):
Er (0.1250, 0.1250, 0.1250)
Er (0.8750, 0.8750, 0.8750)
Be (0.0000, 0.5000, 0.5000)
Be (0.5000, 0.0000, 0.5000)
Be (0.5000, 0.5000, 0.0000)
Be (0.5000, 0.5000, 0.5000)
Pt (0.1338, 0.1338, 0.6162)
Pt (0.1338, 0.6162, 0.1338)
Pt (0.1338, 0.6162, 0.6162)
Pt (0.3838, 0.3838, 0.8662)
Pt (0.3838, 0.8662, 0.3838)
Pt (0.3838, 0.8662, 0.8662)
Pt (0.6162, 0.1338, 0.1338)
Pt (0.6162, 0.1338, 0.6162)
Pt (0.6162, 0.6162, 0.1338)
Pt (0.8662, 0.3838, 0.3838)
Pt (0.8662, 0.3838, 0.8662)
Pt (0.8662, 0.8662, 0.3838)

Output
* crystal system: cubic
* DOS at the Fermi energy: 0.450 states/eV per atom
* E_tot: -5.836 eV per atom
* M_tot: 0.00 μB per formula unit

---

Record 9
VASP calculation (PBE) on a geometry-optimized ErPuSbAu structure.

a = 5.2184 Å, b = 5.2184 Å, c = 5.2184 Å
α = 60.00°, β = 60.00°, γ = 60.00°
Positions (direct):
Er (0.0000, 0.0000, 0.0000)
Pu (0.5000, 0.5000, 0.5000)
Sb (0.7500, 0.7500, 0.7500)
Au (0.2500, 0.2500, 0.2500)

Output
* crystal system: cubic
* DOS at the Fermi energy: 2.737 states/eV per atom
* E_tot: -7.208 eV per atom
* M_tot: 6.94 μB per formula unit
* uncorrected formation energy: -634 meV/atom

---

Record 10
VASP calculation (PBE) on a geometry-optimized Rb3Er2SnSe6 structure.

a = 7.3381 Å, b = 7.3381 Å, c = 8.3426 Å
α = 98.42°, β = 98.42°, γ = 120.00°
Positions (direct):
Rb (0.0000, 0.0000, 0.0000)
Rb (0.3347, 0.6653, 0.0000)
Rb (0.6653, 0.3347, 0.0000)
Er (0.1668, 0.8332, 0.5000)
Er (0.8332, 0.1668, 0.5000)
Sn (0.5000, 0.5000, 0.5000)
Se (0.0981, 0.4353, 0.3061)
Se (0.2272, 0.2272, 0.6935)
Se (0.4353, 0.0981, 0.3061)
Se (0.5647, 0.9019, 0.6939)
Se (0.7728, 0.7728, 0.3065)
Se (0.9019, 0.5647, 0.6939)

Output
* crystal system: monoclinic
* DOS at the Fermi energy: 0.379 states/eV per atom
* E_tot: -4.456 eV per atom
* M_tot: 0.00 μB per formula unit
* uncorrected formation energy: -1377 meV/atom

---

Record 11
VASP calculation (PBE) on a geometry-optimized MgScB structure.

a = 6.3832 Å, b = 6.3832 Å, c = 5.2331 Å
α = 100.87°, β = 100.87°, γ = 28.58°
Positions (direct):
Mg (0.0000, 0.0000, 0.0000)
Mg (0.7255, 0.7255, 0.0835)
Sc (0.1624, 0.1624, 0.5606)
Sc (0.4146, 0.4146, 0.4626)
B (0.3382, 0.3382, 0.8681)
B (0.8216, 0.8216, 0.7296)

Output
* crystal system: monoclinic
* DOS at the Fermi energy: 0.775 states/eV per atom
* E_tot: -4.985 eV per atom
* M_tot: 0.00 μB per formula unit

---

Record 12
VASP calculation (PBE) on a geometry-optimized TbGdScCu structure.

a = 5.1783 Å, b = 5.1783 Å, c = 5.1783 Å
α = 60.00°, β = 60.00°, γ = 60.00°
Positions (direct):
Tb (0.0000, 0.0000, 0.0000)
Gd (0.5000, 0.5000, 0.5000)
Sc (0.2500, 0.2500, 0.2500)
Cu (0.7500, 0.7500, 0.7500)

Output
* crystal system: cubic
* DOS at the Fermi energy: 1.021 states/eV per atom
* E_tot: -7.160 eV per atom
* M_tot: 7.32 μB per formula unit